The following is a PBE calculation of a relaxed Y6Ho2Th crystal, from Alexandria.

The structure in POSCAR format:
```
Y6Ho2Th
1.0
8.2101 -5.6256 0.0000
8.2101 5.6256 0.0000
-1.1057 0.0000 6.3855
Y Ho Th
12 4 2
direct
0.0807 0.5604 0.2257 Y
0.1219 0.8353 0.9905 Y
0.1647 0.8781 0.5095 Y
0.2455 0.4914 0.7382 Y
0.4396 0.9193 0.2743 Y
0.4914 0.2455 0.2382 Y
0.5086 0.7545 0.7618 Y
0.5604 0.0807 0.7257 Y
0.7545 0.5086 0.2618 Y
0.8353 0.1219 0.4905 Y
0.8781 0.1647 0.0095 Y
0.9193 0.4396 0.7743 Y
0.1488 0.2289 0.4049 Ho
0.2289 0.1488 0.9049 Ho
0.7711 0.8512 0.0951 Ho
0.8512 0.7711 0.5951 Ho
0.3990 0.6010 0.2500 Th
0.6010 0.3990 0.7500 Th
```

## Properties
Symmetry: C2/c
Energy above the lowest structure with this stoichiometry in kJ/mol of formula units: 0

***

The following is a PBE calculation of a relaxed YHo7Th3 crystal, from Alexandria.

The structure in POSCAR format:
```
YHo7Th3
1.0
7.0522 0.0000 0.0000
-3.5261 6.1073 0.0000
0.0000 0.0000 8.5066
Y Ho Th
1 7 3
direct
0.0000 0.0000 0.0000 Y
0.0025 0.5013 0.9970 Ho
0.3313 0.1657 0.6600 Ho
0.3333 0.6667 0.6579 Ho
0.4987 0.5013 0.9970 Ho
0.4987 0.9975 0.9970 Ho
0.8343 0.1657 0.6600 Ho
0.8343 0.6687 0.6600 Ho
0.1669 0.3338 0.3295 Th
0.1669 0.8331 0.3295 Th
0.6662 0.8331 0.3295 Th
```

## Properties
Symmetry: P3m1
Energy above the lowest structure with this stoichiometry in kJ/mol of formula units: 65

***

The following is a PBE calculation of a relaxed Y5Ho5Th2 crystal, from Alexandria.

The structure in POSCAR format:
```
Y5Ho5Th2
1.0
7.5448 -2.5216 0.0000
7.5448 2.5216 0.0000
-5.0341 0.0000 10.0430
Y Ho Th
5 5 2
direct
0.0000 0.0000 0.0000 Y
0.0851 0.0851 0.7535 Y
0.1674 0.1674 0.5013 Y
0.8326 0.8326 0.4987 Y
0.9149 0.9149 0.2465 Y
0.2491 0.2491 0.2453 Ho
0.4168 0.4168 0.7511 Ho
0.5000 0.5000 0.5000 Ho
0.5832 0.5832 0.2489 Ho
0.7509 0.7509 0.7547 Ho
0.3311 0.3311 0.9996 Th
0.6689 0.6689 0.0004 Th
```

## Properties
Symmetry: C2/m

***

The following is a PBE calculation of a relaxed Y2Ho3Th3 crystal, from Alexandria.

The structure in POSCAR format:
```
Y2Ho3Th3
1.0
-2.5039 2.5177 10.1213
2.5039 -2.5177 10.1213
2.5039 2.5177 -10.1213
Y Ho Th
2 3 3
direct
0.2500 0.2500 0.0000 Y
0.7500 0.7500 0.0000 Y
0.0000 0.0000 0.0000 Ho
0.1238 0.6238 0.5000 Ho
0.8762 0.3762 0.5000 Ho
0.3772 0.8772 0.5000 Th
0.5000 0.5000 0.0000 Th
0.6228 0.1228 0.5000 Th
```

## Properties
Symmetry: Immm
Energy above the lowest structure with this stoichiometry in kJ/mol of formula units: 0

***

The following is a PBE calculation of a relaxed Y6Ho3Th2 crystal, from Alexandria.

The structure in POSCAR format:
```
Y6Ho3Th2
1.0
5.9249 0.0000 0.0000
0.0000 12.5421 0.0000
0.0000 0.0000 10.1957
Y Ho Th
12 6 4
direct
0.1926 0.2004 0.0000 Y
0.2189 0.2193 0.3394 Y
0.2189 0.2193 0.6606 Y
0.2811 0.7193 0.1606 Y
0.2811 0.7193 0.8394 Y
0.3074 0.7004 0.5000 Y
0.6926 0.2996 0.5000 Y
0.7189 0.2807 0.1606 Y
0.7189 0.2807 0.8394 Y
0.7811 0.7807 0.3394 Y
0.7811 0.7807 0.6606 Y
0.8074 0.7996 0.0000 Y
0.0000 0.0000 0.1806 Ho
0.0000 0.0000 0.8194 Ho
0.0000 0.5000 0.5000 Ho
0.5000 0.0000 0.0000 Ho
0.5000 0.5000 0.3194 Ho
0.5000 0.5000 0.6806 Ho
0.2402 0.9460 0.5000 Th
0.2598 0.4460 0.0000 Th
0.7402 0.5540 0.0000 Th
0.7598 0.0540 0.5000 Th
```

## Properties
Symmetry: Pnnm

***

The following is a PBE calculation of a relaxed Y3Ho4Th crystal, from Alexandria.

The structure in POSCAR format:
```
Y3Ho4Th
1.0
11.6759 -1.7201 0.0000
11.6759 1.7201 0.0000
-1.9360 0.0000 6.4400
Y Ho Th
3 4 1
direct
0.0000 0.0000 0.0000 Y
0.1253 0.1253 0.8649 Y
0.8747 0.8747 0.1351 Y
0.1240 0.1240 0.3839 Ho
0.2586 0.2586 0.2638 Ho
0.7414 0.7414 0.7362 Ho
0.8760 0.8760 0.6161 Ho
0.5000 0.5000 0.5000 Th
```

## Properties
Symmetry: C2/m
Energy above the lowest structure with this stoichiometry in kJ/mol of formula units: 0

***

The following is a PBE calculation of a relaxed Y6Ho4Th crystal, from Alexandria.

The structure in POSCAR format:
```
Y6Ho4Th
1.0
2.8472 -4.8592 0.0000
2.8472 4.8592 0.0000
0.0000 0.0000 25.6810
Y Ho Th
12 8 2
direct
0.0000 0.0000 0.0000 Y
0.0000 0.0000 0.5000 Y
0.0133 0.9867 0.7500 Y
0.3206 0.6794 0.1018 Y
0.3206 0.6794 0.3982 Y
0.3475 0.6525 0.6822 Y
0.3475 0.6525 0.8178 Y
0.6525 0.3475 0.1822 Y
0.6525 0.3475 0.3178 Y
0.6794 0.3206 0.6018 Y
0.6794 0.3206 0.8982 Y
0.9867 0.0133 0.2500 Y
0.0163 0.9837 0.6216 Ho
0.0163 0.9837 0.8784 Ho
0.3379 0.6621 0.5412 Ho
0.3379 0.6621 0.9588 Ho
0.6621 0.3379 0.0412 Ho
0.6621 0.3379 0.4588 Ho
0.9837 0.0163 0.1216 Ho
0.9837 0.0163 0.3784 Ho
0.3209 0.6791 0.2500 Th
0.6791 0.3209 0.7500 Th
```

## Properties
Symmetry: Cmcm
Energy above the lowest structure with this stoichiometry in kJ/mol of formula units: 0

***

The following is a PBE calculation of a relaxed Y6HoTh3 crystal, from Alexandria.

The structure in POSCAR format:
```
Y6HoTh3
1.0
5.4629 -9.4309 0.0000
5.4629 9.4309 0.0000
0.0000 0.0000 6.3887
Y Ho Th
12 2 6
direct
0.0376 0.9624 0.5000 Y
0.0550 0.4681 0.9914 Y
0.2612 0.7388 0.7331 Y
0.2925 0.3740 0.8149 Y
0.3740 0.2925 0.3149 Y
0.4681 0.0550 0.4914 Y
0.5319 0.9450 0.9914 Y
0.6260 0.7075 0.8149 Y
0.7075 0.6260 0.3149 Y
0.7388 0.2612 0.2331 Y
0.9450 0.5319 0.4914 Y
0.9624 0.0376 0.0000 Y
0.1956 0.8044 0.2427 Ho
0.8044 0.1956 0.7427 Ho
0.0588 0.2896 0.4046 Th
0.2896 0.0588 0.9046 Th
0.3813 0.6187 0.3204 Th
0.6187 0.3813 0.8204 Th
0.7104 0.9412 0.4046 Th
0.9412 0.7104 0.9046 Th
```

## Properties
Symmetry: Cmc2_1
Energy above the lowest structure with this stoichiometry in kJ/mol of formula units: 95

***

Number 1: energy of formation from the pure elements 0.16 eV per atom, V 32.77 Å³ per atom. Number 2: energy of formation from the pure elements 0.21 eV per atom, V 33.31 Å³ per atom. Number 3: energy of formation from the pure elements 0.03 eV per atom, V 31.84 Å³ per atom. Number 4: energy of formation from the pure elements 0.04 eV per atom, V 31.90 Å³ per atom. Number 5: energy of formation from the pure elements 0.33 eV per atom, V 34.44 Å³ per atom. Number 6: energy of formation from the pure elements 0.18 eV per atom, V 32.34 Å³ per atom. Number 7: energy of formation from the pure elements 0.14 eV per atom, V 32.30 Å³ per atom. Number 8: energy of formation from the pure elements 0.20 eV per atom, V 32.91 Å³ per atom.